# 1
Compound: Rb3ReBr2Cl6
Source: Alexandria via LeMat-Bulk
Functional: GGA-PBE
Structure: relaxed

Cell: 17.174 9.060 5.563 Å, 90.00 90.07 90.00°
Space group C2/m (No. 12)
Unique sites:
Rb 0.000 0.000 0.000 x2
Rb 0.250 0.250 0.500 x4
Re 0.000 0.500 0.500 x2
Br 0.195 0.000 0.044 x4
Cl 0.061 0.317 0.730 x8
Cl 0.107 0.500 0.245 x4

Computed properties:
Magnetic moment in μB per atom: 0.16
E_form (uncorrected) in meV per atom: -1185.6

***

# 2
Compound: SrSbPb2
Source: Alexandria via LeMat-Bulk
Functional: GGA-PBE
Structure: relaxed

Cell: 11.388 4.457 5.526 Å, 90.00 112.19 90.00°
Space group Cm (No. 8)
Unique sites:
Sr 0.000 0.000 0.000 x2
Sb 0.250 0.500 0.312 x2
Pb 0.240 0.000 0.718 x2
Pb 0.484 0.000 0.480 x2

Computed properties:
Magnetic moment in μB per atom: 0.00
E_form (uncorrected) in meV per atom: -370.1

***

# 3
Compound: ReSbTe
Source: Alexandria via LeMat-Bulk
Functional: GGA-PBE
Structure: relaxed

Cell: 3.199 5.451 15.979 Å, 90.00 90.00 90.00°
Space group Fmm2 (No. 42)
Unique sites:
Re 0.000 0.000 0.000 x4
Sb 0.000 0.000 0.358 x4
Te 0.000 0.000 0.636 x4

Computed properties:
Magnetic moment in μB per atom: 0.00
E above lowest polymorph in meV/atom: 588
E_form (uncorrected) in meV per atom: 684.5

***

# 4
Compound: Sm4GeTeS2
Source: Alexandria via LeMat-Bulk
Functional: GGA-PBE
Structure: relaxed

Cell: 7.188 4.176 7.356 Å, 90.00 109.34 90.00°
Space group P2/m (No. 10)
Unique sites:
Sm 0.229 0.000 0.224 x2
Sm 0.242 0.500 0.762 x2
Ge 0.500 0.000 0.000 x1
Te 0.500 0.500 0.500 x1
S 0.000 0.000 0.500 x1
S 0.000 0.500 0.000 x1

Computed properties:
Magnetic moment in μB per atom: 0.00
E_form (uncorrected) in meV per atom: -1595.6

***

> Which formula does entry 4 have?

Sm4GeTeS2